Arrangement P

Compound: LiMnFe
Source: Alexandria
Functional: PBE
Structure: optimized geometry

Summary:
SG: I4mm
Volume (Å³/cell): 41.3
DOS(E_F) (states/eV/f.u.): 2.19
Crystal system: tetragonal

a b c (Å): 6.545 6.545 6.545
angles (deg): 157.43 157.43 32.13
Atoms (fractional coordinates):
1 Li 0.000 0.000 0.000
2 Mn 0.680 0.680 0.000
3 Fe 0.328 0.328 0.000

Arrangement Q

Compound: LiMnFe
Source: Alexandria
Functional: PBE
Structure: optimized geometry

Summary:
SG: F-43m
Volume (Å³/cell): 40.6
DOS(E_F) (states/eV/f.u.): 2.06
Crystal system: cubic

a b c (Å): 3.859 3.859 3.859
angles (deg): 60.00 60.00 60.00
Atoms (fractional coordinates):
1 Li 0.000 0.000 0.000
2 Mn 0.750 0.750 0.750
3 Fe 0.500 0.500 0.500

Arrangement R

Compound: LiMnFe
Source: Alexandria
Functional: PBE
Structure: optimized geometry

Summary:
SG: Fmm2
Volume (Å³/cell): 34.9
DOS(E_F) (states/eV/f.u.): 2.85
Crystal system: orthorhombic

a b c (Å): 6.830 6.662 2.409
angles (deg): 83.68 75.80 20.52
Atoms (fractional coordinates):
1 Li 0.000 0.000 0.000
2 Mn 0.326 0.326 0.674
3 Fe 0.674 0.674 0.326

Arrangement S

Compound: LiMnFe
Source: Alexandria
Functional: PBE
Structure: optimized geometry

Summary:
SG: Imm2
Volume (Å³/cell): 34.6
DOS(E_F) (states/eV/f.u.): 3.31
Crystal system: orthorhombic

a b c (Å): 4.305 4.305 4.305
angles (deg): 146.51 127.31 63.89
Atoms (fractional coordinates):
1 Li 0.000 0.000 0.000
2 Mn 0.669 0.669 0.000
3 Fe 0.333 0.333 0.000

arrangement R comes first in stability; the runner-up is 5.1 kJ/mol of atoms higher.

Arrangement P

Compound: LiMn2Fe2
Source: Alexandria
Functional: PBE
Structure: optimized geometry

Summary:
SG: P4/mbm
Volume (Å³/cell): 118.9
DOS(E_F) (states/eV/f.u.): 5.34
Crystal system: tetragonal

a b c (Å): 6.951 6.951 2.462
angles (deg): 90.00 90.00 90.00
Atoms (fractional coordinates):
1 Li 0.000 0.000 0.000
2 Li 0.500 0.500 0.000
3 Mn 0.123 0.377 0.000
4 Mn 0.377 0.877 0.000
5 Mn 0.623 0.123 0.000
6 Mn 0.877 0.623 0.000
7 Fe 0.169 0.669 0.500
8 Fe 0.331 0.169 0.500
9 Fe 0.669 0.831 0.500
10 Fe 0.831 0.331 0.500

Arrangement Q

Compound: LiMn2Fe2
Source: Alexandria
Functional: PBE
Structure: optimized geometry

Summary:
SG: P4/mbm
Volume (Å³/cell): 115.0
DOS(E_F) (states/eV/f.u.): 7.04
Crystal system: tetragonal

a b c (Å): 6.848 6.848 2.454
angles (deg): 90.00 90.00 90.00
Atoms (fractional coordinates):
1 Li 0.000 0.000 0.000
2 Li 0.500 0.500 0.000
3 Mn 0.164 0.336 0.500
4 Mn 0.336 0.836 0.500
5 Mn 0.664 0.164 0.500
6 Mn 0.836 0.664 0.500
7 Fe 0.127 0.627 0.000
8 Fe 0.373 0.127 0.000
9 Fe 0.627 0.873 0.000
10 Fe 0.873 0.373 0.000

arrangement P comes first in stability; the runner-up is 1.7 kJ/mol of atoms higher.